No. 1
# Li2FeF

A relaxed structure of Li2FeF (PBEsol, Alexandria via LeMat-Bulk).

As for the formation energy without anion corrections: -0.663 eV/atom. The value obtained for the density of states at the Fermi level is 20.02 states/eV/cell.

It has space group I-42d (No. 122), with a = 5.5624 Å, b = 5.5624 Å, c = 7.0555 Å, α = 90.00°, β = 90.00° and γ = 90.00°. The inequivalent atoms are Li at (0.1184, 0.7500, 0.1250), Fe at (0.0000, 0.0000, 0.5000) and F at (0.0000, 0.0000, 0.0000).

No. 2
# LiFeF6

A relaxed structure of LiFeF6 (PBEsol, Alexandria via LeMat-Bulk).

As for the formation energy without anion corrections: -2.100 eV/atom.

It has space group P4_2nm (No. 102), with a = 4.6719 Å, b = 4.6719 Å, c = 8.4529 Å, α = 90.00°, β = 90.00° and γ = 90.00°. The inequivalent atoms are Li at (0.0000, 0.0000, 0.0000), Fe at (0.0000, 0.0000, 0.6474), F at (0.1818, 0.1818, 0.7991), F at (0.1908, 0.1908, 0.5029) and F at (0.2339, 0.2339, 0.1465).

No. 3
# LiMgFe2F

A relaxed structure of LiMgFe2F (PBEsol, Alexandria via LeMat-Bulk).

As for the formation energy without anion corrections: -0.091 eV/atom. The value obtained for the density of states at the Fermi level is 3.94 states/eV/cell.

It has space group P4/mmm (No. 123), with a = 4.2663 Å, b = 4.2663 Å, c = 3.6268 Å, α = 90.00°, β = 90.00° and γ = 90.00°. The inequivalent atoms are Li at (0.0000, 0.0000, 0.0000), Mg at (0.5000, 0.5000, 0.0000), Fe at (0.0000, 0.5000, 0.5000) and F at (0.0000, 0.0000, 0.5000).